1.
# TlPdRhCl6 (GGA-PBE, optimized geometry)
# Theoretical density ... 4.1 g cm⁻³
# Final energy ... -3.49 eV per atom
# Spin magnetization ... 0.22 μB/atom
data_TlPdRhCl6
_chemical_formula_sum 'Tl1 Pd1 Rh1 Cl6'
_cell_length_a 6.4256
_cell_length_b 6.4256
_cell_length_c 7.0661
_cell_angle_alpha 90.00
_cell_angle_beta 90.00
_cell_angle_gamma 120.00
_symmetry_space_group_name_H-M 'P 3 1 2'
_symmetry_Int_Tables_number 149
loop_
_symmetry_equiv_pos_as_xyz
'x,y,z'
'-y,x-y,z'
'-x+y,-x,z'
'-y,-x,-z'
'-x+y,y,-z'
'x,x-y,-z'
loop_
_atom_site_label
_atom_site_type_symbol
_atom_site_fract_x
_atom_site_fract_y
_atom_site_fract_z
_atom_site_occupancy
Tl1 Tl 0.0000 0.0000 0.0000 1
Pd1 Pd 0.3333 0.6667 0.5000 1
Rh1 Rh 0.6667 0.3333 0.5000 1
Cl1 Cl 0.3740 0.0210 0.6907 1

2.
# Zr2PdRhCl (GGA-PBE, optimized geometry)
# DOS at the Fermi energy ... 3.96 states/eV per cell
# Theoretical density ... 7.3 g cm⁻³
# Final energy ... -6.32 eV per atom
# Spin magnetization ... 0.00 μB/atom
data_Zr2PdRhCl
_chemical_formula_sum 'Zr2 Pd1 Rh1 Cl1'
_cell_length_a 4.744
_cell_length_b 4.744
_cell_length_c 4.335
_cell_angle_alpha 90.00
_cell_angle_beta 90.00
_cell_angle_gamma 90.00
_symmetry_space_group_name_H-M 'P 4/m m m'
_symmetry_Int_Tables_number 123
_symmetry_space_group_name_Hall '-P 4 2'
loop_
_atom_site_label
_atom_site_type_symbol
_atom_site_fract_x
_atom_site_fract_y
_atom_site_fract_z
_atom_site_occupancy
Zr1 Zr 0.000 0.500 0.000 1
Pd1 Pd 0.000 0.000 0.500 1
Rh1 Rh 0.500 0.500 0.500 1
Cl1 Cl 0.500 0.500 0.000 1

3.
# PdRu3Cl (GGA-PBE, optimized geometry)
# DOS at the Fermi energy ... 6.77 states/eV per cell
# Energy above the most stable polymorph in this dataset ... 0.0 meV/atom
# Theoretical density ... 9.1 g cm⁻³
# Final energy ... -5.82 eV per atom
# Spin magnetization ... 0.52 μB/atom
data_PdRu3Cl
_chemical_formula_sum 'Pd1 Ru3 Cl1'
_cell_length_a 4.335
_cell_length_b 4.335
_cell_length_c 4.335
_cell_angle_alpha 90.00
_cell_angle_beta 90.00
_cell_angle_gamma 90.00
_symmetry_space_group_name_H-M 'P m -3 m'
_symmetry_Int_Tables_number 221
_symmetry_space_group_name_Hall '-P 4 2 3'
loop_
_atom_site_label
_atom_site_type_symbol
_atom_site_fract_x
_atom_site_fract_y
_atom_site_fract_z
_atom_site_occupancy
Pd1 Pd 0.000 0.000 0.000 1
Ru1 Ru 0.000 0.500 0.500 1
Cl1 Cl 0.500 0.500 0.500 1

4.
# PdRuCl2 (GGA-PBE, optimized geometry)
# DOS at the Fermi energy ... 15.66 states/eV per cell
# Energy above the most stable polymorph in this dataset ... 142.7 meV/atom
# Theoretical density ... 6.7 g cm⁻³
# Final energy ... -4.19 eV per atom
# Spin magnetization ... 0.00 μB/atom
data_PdRuCl2
_chemical_formula_sum 'Pd3 Ru3 Cl6'
_cell_length_a 3.0460
_cell_length_b 3.0460
_cell_length_c 25.7496
_cell_angle_alpha 90.00
_cell_angle_beta 90.00
_cell_angle_gamma 120.00
_symmetry_space_group_name_H-M 'R -3 m'
_symmetry_Int_Tables_number 166
_symmetry_space_group_name_Hall '-R 3 2"'
loop_
_atom_site_label
_atom_site_type_symbol
_atom_site_fract_x
_atom_site_fract_y
_atom_site_fract_z
_atom_site_occupancy
Pd1 Pd 0.0000 0.0000 0.0000 1
Ru1 Ru 0.0000 0.0000 0.5000 1
Cl1 Cl 0.0000 0.0000 0.4132 1

5.
# Pd3RuCl (GGA-PBE, optimized geometry)
# DOS at the Fermi energy ... 4.25 states/eV per cell
# Energy above the most stable polymorph in this dataset ... 0.0 meV/atom
# Theoretical density ... 8.3 g cm⁻³
# Final energy ... -4.42 eV per atom
# Spin magnetization ... 0.58 μB/atom
data_Pd3RuCl
_chemical_formula_sum 'Pd3 Ru1 Cl1'
_cell_length_a 4.495
_cell_length_b 4.495
_cell_length_c 4.495
_cell_angle_alpha 90.00
_cell_angle_beta 90.00
_cell_angle_gamma 90.00
_symmetry_space_group_name_H-M 'P m -3 m'
_symmetry_Int_Tables_number 221
_symmetry_space_group_name_Hall '-P 4 2 3'
loop_
_atom_site_label
_atom_site_type_symbol
_atom_site_fract_x
_atom_site_fract_y
_atom_site_fract_z
_atom_site_occupancy
Pd1 Pd 0.000 0.000 0.500 1
Ru1 Ru 0.500 0.500 0.500 1
Cl1 Cl 0.000 0.000 0.000 1

6.
# PdRu3Cl (GGA-PBE, optimized geometry)
# DOS at the Fermi energy ... 4.17 states/eV per cell
# Energy above the most stable polymorph in this dataset ... 843.5 meV/atom
# Theoretical density ... 6.4 g cm⁻³
# Final energy ... -4.98 eV per atom
# Spin magnetization ... 1.63 μB/atom
data_PdRu3Cl
_chemical_formula_sum 'Pd1 Ru3 Cl1'
_cell_length_a 4.876
_cell_length_b 4.876
_cell_length_c 4.876
_cell_angle_alpha 90.00
_cell_angle_beta 90.00
_cell_angle_gamma 90.00
_symmetry_space_group_name_H-M 'P m -3 m'
_symmetry_Int_Tables_number 221
_symmetry_space_group_name_Hall '-P 4 2 3'
loop_
_atom_site_label
_atom_site_type_symbol
_atom_site_fract_x
_atom_site_fract_y
_atom_site_fract_z
_atom_site_occupancy
Pd1 Pd 0.000 0.000 0.000 1
Ru1 Ru 0.000 0.000 0.500 1
Cl1 Cl 0.500 0.500 0.500 1

7.
# PdRuCl3 (GGA-PBE, optimized geometry)
# DOS at the Fermi energy ... 6.32 states/eV per cell
# Energy above the most stable polymorph in this dataset ... 0.0 meV/atom
# Theoretical density ... 4.7 g cm⁻³
# Final energy ... -3.72 eV per atom
# Spin magnetization ... 0.49 μB/atom
data_PdRuCl3
_chemical_formula_sum 'Pd1 Ru1 Cl3'
_cell_length_a 4.797
_cell_length_b 4.797
_cell_length_c 4.797
_cell_angle_alpha 90.00
_cell_angle_beta 90.00
_cell_angle_gamma 90.00
_symmetry_space_group_name_H-M 'P m -3 m'
_symmetry_Int_Tables_number 221
_symmetry_space_group_name_Hall '-P 4 2 3'
loop_
_atom_site_label
_atom_site_type_symbol
_atom_site_fract_x
_atom_site_fract_y
_atom_site_fract_z
_atom_site_occupancy
Pd1 Pd 0.000 0.000 0.000 1
Ru1 Ru 0.500 0.500 0.500 1
Cl1 Cl 0.000 0.500 0.500 1

8.
# PdRuCl2 (GGA-PBE, optimized geometry)
# DOS at the Fermi energy ... 10.71 states/eV per cell
# Energy above the most stable polymorph in this dataset ... 266.5 meV/atom
# Theoretical density ... 5.7 g cm⁻³
# Final energy ... -4.07 eV per atom
# Spin magnetization ... 0.00 μB/atom
data_PdRuCl2
_chemical_formula_sum 'Pd4 Ru4 Cl8'
_cell_length_a 6.069
_cell_length_b 6.069
_cell_length_c 8.862
_cell_angle_alpha 90.00
_cell_angle_beta 90.00
_cell_angle_gamma 90.00
_symmetry_space_group_name_H-M 'I -4 2 d'
_symmetry_Int_Tables_number 122
_symmetry_space_group_name_Hall 'I -4 2bw'
loop_
_atom_site_label
_atom_site_type_symbol
_atom_site_fract_x
_atom_site_fract_y
_atom_site_fract_z
_atom_site_occupancy
Pd1 Pd 0.000 0.000 0.000 1
Ru1 Ru 0.000 0.000 0.500 1
Cl1 Cl 0.225 0.250 0.625 1

9.
# PdRuCl2 (GGA-PBE, optimized geometry)
# DOS at the Fermi energy ... 19.67 states/eV per cell
# Energy above the most stable polymorph in this dataset ... 381.4 meV/atom
# Theoretical density ... 6.7 g cm⁻³
# Final energy ... -3.95 eV per atom
# Spin magnetization ... 0.90 μB/atom
data_PdRuCl2
_chemical_formula_sum 'Pd4 Ru4 Cl8'
_cell_length_a 6.496
_cell_length_b 6.496
_cell_length_c 6.496
_cell_angle_alpha 90.00
_cell_angle_beta 90.00
_cell_angle_gamma 90.00
_symmetry_space_group_name_H-M 'F m -3 m'
_symmetry_Int_Tables_number 225
_symmetry_space_group_name_Hall '-F 4 2 3'
loop_
_atom_site_label
_atom_site_type_symbol
_atom_site_fract_x
_atom_site_fract_y
_atom_site_fract_z
_atom_site_occupancy
Pd1 Pd 0.000 0.000 0.000 1
Ru1 Ru 0.000 0.000 0.500 1
Cl1 Cl 0.250 0.250 0.250 1

10.
# PdRuCl3 (GGA-PBE, optimized geometry)
# DOS at the Fermi energy ... 8.25 states/eV per cell
# Energy above the most stable polymorph in this dataset ... 234.7 meV/atom
# Theoretical density ... 4.5 g cm⁻³
# Final energy ... -3.49 eV per atom
# Spin magnetization ... 0.66 μB/atom
data_PdRuCl3
_chemical_formula_sum 'Pd1 Ru1 Cl3'
_cell_length_a 4.875
_cell_length_b 4.875
_cell_length_c 4.875
_cell_angle_alpha 90.00
_cell_angle_beta 90.00
_cell_angle_gamma 90.00
_symmetry_space_group_name_H-M 'P m -3 m'
_symmetry_Int_Tables_number 221
_symmetry_space_group_name_Hall '-P 4 2 3'
loop_
_atom_site_label
_atom_site_type_symbol
_atom_site_fract_x
_atom_site_fract_y
_atom_site_fract_z
_atom_site_occupancy
Pd1 Pd 0.000 0.000 0.000 1
Ru1 Ru 0.500 0.500 0.500 1
Cl1 Cl 0.000 0.000 0.500 1